No. 1
Crystalline KAu2I2 at its relaxed geometry. Source: Alexandria via LeMat-Bulk, functional PBE.

Properties
VASP energy	-12.06	eV/cell
formation energy without anion corrections	-0.2617	eV per atom
SG	I4/mmm (139)
relative energy among the computed polymorphs	0	meV/atom
size of the total moment	0.00	μB/f.u.

Cell: 9.4124 9.4124 9.4124 Å, 154.84 154.84 35.89°
With the nearest neighbours (Å) after each atom.
Atoms (fractional coordinates):
K 0.0000 0.0000 0.0000  8 I 3.49
Au 0.2500 0.7500 0.5000  4 Au 2.90
Au 0.7500 0.2500 0.5000  4 Au 2.90
I 0.3916 0.3916 0.0000  4 Au 3.26, 4 K 3.49
I 0.6084 0.6084 0.0000  4 Au 3.26, 4 K 3.49

=====

No. 2
Crystalline RbAc2Cu at its relaxed geometry. Source: Alexandria via LeMat-Bulk, functional PBE.

Properties
VASP energy	-12.55	eV/cell
SG	R-3m (166)
formation enthalpy at 0 K	0.182	eV per atom
size of the total moment	0.00	μB/f.u.

Cell: 12.4937 12.4937 12.4937 Å, 19.30 19.30 19.30°
With the nearest neighbours (Å) after each atom.
Atoms (fractional coordinates):
Rb 0.0000 0.0000 0.0000  6 Rb 4.19, 2 Ac 4.27
Ac 0.1162 0.1162 0.1162  3 Cu 3.05
Ac 0.8838 0.8838 0.8838  3 Cu 3.05
Cu 0.5000 0.5000 0.5000  6 Ac 3.05

=====

No. 3
Crystalline TlSiAu2 at its relaxed geometry. Source: Alexandria via LeMat-Bulk, functional PBE.

Properties
VASP energy	-14.12	eV/cell
formation energy without anion corrections	0.0563	eV per atom
SG	C2/m (12)
relative energy among the computed polymorphs	88	meV/atom
size of the total moment	0.00	μB/f.u.

Cell: 3.8114 3.8114 7.1700 Å, 106.44 106.44 63.47°
With the nearest neighbours (Å) after each atom.
Atoms (fractional coordinates):
Tl 0.0000 0.0000 0.0000  6 Au 3.07-3.09
Si 0.5000 0.5000 0.5000  6 Au 2.55-2.58
Au 0.2262 0.2262 0.6861  3 Si 2.55-2.58
Au 0.7738 0.7738 0.3139  3 Si 2.55-2.58

=====

No. 4
Crystalline FePt2Br at its relaxed geometry. Source: Alexandria via LeMat-Bulk, functional PBE.

Properties
VASP energy	-19.73	eV/cell
formation energy without anion corrections	0.6212	eV per atom
SG	Fm-3m (225)
relative energy among the computed polymorphs	447	meV/atom
size of the total moment	4.14	μB/f.u.

Cell: 4.5600 4.5600 4.5600 Å, 60.00 60.00 60.00°
With the nearest neighbours (Å) after each atom.
Atoms (fractional coordinates):
Fe 0.0000 0.0000 0.0000  8 Pt 2.79
Pt 0.2500 0.2500 0.2500  4 Fe 2.79, 4 Br 2.79
Pt 0.7500 0.7500 0.7500  4 Fe 2.79, 4 Br 2.79
Br 0.5000 0.5000 0.5000  8 Pt 2.79

=====

No. 5
Crystalline KScCu2 at its relaxed geometry. Source: Alexandria via LeMat-Bulk, functional PBE.

Properties
VASP energy	-26.41	eV/cell
SG	I-42d (122)
formation enthalpy at 0 K	0.604	eV per atom
relative energy among the computed polymorphs	520	meV/atom
size of the total moment	0.00	μB/f.u.

Cell: 6.4245 6.4245 6.4245 Å, 106.43 106.43 115.75°
With the nearest neighbours (Å) after each atom.
Atoms (fractional coordinates):
K 0.0000 0.0000 0.0000  4 Cu 3.12, 2 Sc 3.42
K 0.7500 0.2500 0.5000  4 Cu 3.12, 2 Sc 3.42
Sc 0.2500 0.7500 0.5000  4 Cu 2.61
Sc 0.5000 0.5000 0.0000  4 Cu 2.61
Cu 0.1735 0.6250 0.0485  2 Sc 2.61
Cu 0.3750 0.4235 0.5485  2 Sc 2.61
Cu 0.5765 0.1250 0.9515  2 Sc 2.61
Cu 0.8750 0.8265 0.4515  2 Sc 2.61

=====

No. 6
Crystalline DyPu2Pa at its relaxed geometry. Source: Alexandria via LeMat-Bulk, functional PBE.

Properties
VASP energy	-42.14	eV/cell
SG	R-3m (166)
formation enthalpy at 0 K	0.155	eV per atom
relative energy among the computed polymorphs	43	meV/atom
size of the total moment	11.22	μB/f.u.

Cell: 10.9791 10.9791 10.9791 Å, 17.64 17.64 17.64°
With the nearest neighbours (Å) after each atom.
Atoms (fractional coordinates):
Dy 0.0000 0.0000 0.0000  6 Dy 3.37, 6 Pu 3.48
Pu 0.2443 0.2443 0.2443  3 Pa 3.18, 6 Pu 3.37, 3 Dy 3.48
Pu 0.7557 0.7557 0.7557  3 Pa 3.18, 6 Pu 3.37, 3 Dy 3.48
Pa 0.5000 0.5000 0.5000  6 Pu 3.18, 6 Pa 3.37

=====

No. 7
Crystalline NpUP2Ru5 at its relaxed geometry. Source: Alexandria via LeMat-Bulk, functional PBE.

Properties
VASP energy	-83.58	eV/cell
SG	P4/mmm (123)
formation enthalpy at 0 K	-0.239	eV per atom
size of the total moment	3.31	μB/f.u.

Cell: 3.9501 3.9501 10.6571 Å, 90.00 90.00 90.00°
With the nearest neighbours (Å) after each atom.
Atoms (fractional coordinates):
Np 0.0000 0.0000 0.0000  4 Ru 2.79
U 0.0000 0.0000 0.5000  8 Ru 2.71
P 0.5000 0.5000 0.2146  5 Ru 2.29-2.30
P 0.5000 0.5000 0.7854  5 Ru 2.29-2.30
Ru 0.0000 0.5000 0.3256  2 P 2.30
Ru 0.0000 0.5000 0.6744  2 P 2.30
Ru 0.5000 0.0000 0.3256  2 P 2.30
Ru 0.5000 0.0000 0.6744  2 P 2.30
Ru 0.5000 0.5000 0.0000  2 P 2.29

=====

No. 8
Crystalline TlPb3S4 at its relaxed geometry. Source: Alexandria via LeMat-Bulk, functional PBE.

Properties
VASP energy	-65.95	eV/cell
formation energy without anion corrections	-0.3718	eV per atom
SG	Pmmn (59)
relative energy among the computed polymorphs	68	meV/atom
size of the total moment	0.00	μB/f.u.

Cell: 5.9388 9.2356 9.2918 Å, 90.00 90.00 90.00°
With the nearest neighbours (Å) after each atom.
Atoms (fractional coordinates):
Tl 0.2500 0.2500 0.1711  5 S 2.87-2.97
Tl 0.7500 0.7500 0.8289  5 S 2.87-2.97
Pb 0.2500 0.0092 0.6590  5 S 2.80-2.98
Pb 0.2500 0.4908 0.6590  5 S 2.80-2.98
Pb 0.2500 0.7500 0.1490  5 S 2.82-3.10
Pb 0.7500 0.2500 0.8510  5 S 2.82-3.10
Pb 0.7500 0.5092 0.3410  5 S 2.80-2.98
Pb 0.7500 0.9908 0.3410  5 S 2.80-2.98
S 0.2500 0.2500 0.8626  1 Tl 2.87, 4 Pb 2.92-2.97
S 0.2500 0.5119 0.3392  4 Pb 2.82-2.98, 1 Tl 2.88
S 0.2500 0.7500 0.8152  3 Pb 2.80-3.10, 2 Tl 2.97
S 0.2500 0.9881 0.3392  4 Pb 2.82-2.98, 1 Tl 2.88
S 0.7500 0.0119 0.6608  4 Pb 2.82-2.98, 1 Tl 2.88
S 0.7500 0.2500 0.1848  3 Pb 2.80-3.10, 2 Tl 2.97
S 0.7500 0.4881 0.6608  4 Pb 2.82-2.98, 1 Tl 2.88
S 0.7500 0.7500 0.1374  1 Tl 2.87, 4 Pb 2.92-2.97

=====

No. 9
Crystalline TbY3Pd at its relaxed geometry. Source: Alexandria via LeMat-Bulk, functional PBE.

Properties
VASP energy	-61.97	eV/cell
SG	Cm (8)
formation enthalpy at 0 K	-0.354	eV per atom
relative energy among the computed polymorphs	0	meV/atom
size of the total moment	0.00	μB/f.u.

Cell: 6.3988 6.3988 13.8591 Å, 114.18 114.18 34.01°
With the nearest neighbours (Å) after each atom.
Atoms (fractional coordinates):
Tb 0.0000 0.0000 0.0000  3 Pd 2.90-3.04
Tb 0.1140 0.1140 0.2892  2 Pd 2.88
Y 0.1177 0.1177 0.6324  2 Pd 2.89
Y 0.2306 0.2306 0.9209  3 Pd 2.92-3.06
Y 0.4389 0.4389 0.3952  9 Y 3.56-3.92, 3 Tb 3.60, 1 Pd 3.64
Y 0.4639 0.4639 0.7611  2 Pd 3.03
Y 0.7659 0.7659 0.1591  2 Pd 3.06
Y 0.7929 0.7929 0.5243  10 Y 3.56-3.92, 2 Tb 3.58, 1 Pd 3.66
Pd 0.4517 0.4517 0.1373  4 Tb 2.88-2.90, 3 Y 3.06
Pd 0.7823 0.7823 0.7842  6 Y 2.89-3.03, 1 Tb 3.04

=====

No. 10
Crystalline Zn2AsPb at its relaxed geometry. Source: Alexandria via LeMat-Bulk, functional PBE.

Properties
VASP energy	-10.04	eV/cell
SG	Pmmm (47)
formation enthalpy at 0 K	0.216	eV per atom
size of the total moment	0.00	μB/f.u.

Cell: 4.0194 4.1927 5.0937 Å, 90.00 90.00 90.00°
With the nearest neighbours (Å) after each atom.
Atoms (fractional coordinates):
Zn 0.0000 0.0000 0.0000  4 Pb 2.90, 4 Zn 3.24
Zn 0.5000 0.0000 0.5000  4 As 2.90, 4 Zn 3.24
As 0.0000 0.5000 0.5000  4 Zn 2.90, 4 Pb 3.24
Pb 0.5000 0.5000 0.0000  4 Zn 2.90, 4 As 3.24